Entry 1:
Below is a relaxed structure of Tl2TeRu, with properties calculated at the GGA-PBE level.

a = 4.3365 Å, b = 6.2365 Å, c = 6.2409 Å
α = 47.21°, β = 90.00°, γ = 90.00°
Atoms (fractional coordinates):
1 Tl 0.0000 0.4084 0.4089
2 Tl 0.0000 0.0916 0.0911
3 Te 0.5000 0.7500 0.7500
4 Ru 0.5000 0.2500 0.2500

Calculated values
**Space-group type**: Cmmm (65)
**Total magnetic moment**: 0.0000 μB/atom

=====

Entry 2:
Below is a relaxed structure of TlTe2Ru, with properties calculated at the GGA-PBE level.

a = 5.1008 Å, b = 5.1008 Å, c = 5.1008 Å
α = 60.00°, β = 60.00°, γ = 60.00°
Atoms (fractional coordinates):
1 Te 0.0000 0.0000 0.0000
2 Ru 0.5000 0.5000 0.5000
3 Te 0.2500 0.2500 0.2500
4 Tl 0.7500 0.7500 0.7500

Calculated values
**Space-group type**: F-43m (216)
**Total magnetic moment**: 0.0139 μB/atom

=====

Entry 3:
Below is a relaxed structure of Tl2TeRu, with properties calculated at the GGA-PBE level.

a = 7.8286 Å, b = 7.8286 Å, c = 4.3965 Å
α = 73.67°, β = 73.67°, γ = 23.95°
Atoms (fractional coordinates):
1 Tl 0.4266 0.4266 0.5732
2 Tl 0.0734 0.0734 0.9268
3 Ru 0.7500 0.7500 0.7500
4 Te 0.2500 0.2500 0.2500

Calculated values
**Space-group type**: Immm (71)
**Total magnetic moment**: 0.0000 μB/atom

=====

Entry 4:
Below is a relaxed structure of TlTe2Ru, with properties calculated at the GGA-PBE level.

a = 5.1910 Å, b = 5.1910 Å, c = 3.6323 Å
α = 84.60°, β = 84.60°, γ = 100.97°
Atoms (fractional coordinates):
1 Te 0.5000 0.5000 0.0000
2 Te 0.0000 0.0000 0.0000
3 Tl 0.5000 0.0000 0.5000
4 Ru 0.0000 0.5000 0.5000

Calculated values
**Space-group type**: C2/m (12)
**Total magnetic moment**: 0.0000 μB/atom

=====

no.,relative energy among the computed polymorphs (eV/atom),ΔE_f (raw) (eV/atom)
1,0.147,0.28
2,0.851,0.75
3,0.109,0.24
4,0.684,0.58